# GGA+U Na4Pr3CrO8, optimized geometry
data_Na4Pr3CrO8
_space_group_name_H-M_alt 'R -3 m'
_space_group_IT_number 166
_space_group_name_Hall '-R 3 2"'
_cell_length_a 6.9748
_cell_length_b 6.9748
_cell_length_c 16.8550
_cell_angle_alpha 90.00
_cell_angle_beta 90.00
_cell_angle_gamma 120.00
loop_
_atom_site_label
_atom_site_type_symbol
_atom_site_fract_x
_atom_site_fract_y
_atom_site_fract_z
_atom_site_occupancy
Na1 Na 0.0000 0.0000 0.0000 1
Na2 Na 0.0000 0.5000 0.0000 1
Pr1 Pr 0.0000 0.5000 0.5000 1
Cr1 Cr 0.0000 0.0000 0.5000 1
O1 O 0.0000 0.0000 0.2410 1
O2 O 0.0295 0.5147 0.2367 1
# DOS(E_F)	0.000	states/eV per atom
# calculated total energy	-310.90	eV/cell